Entry 1:
The following is a DFT calculation (PBE) of an optimized crystal structure of Mo3Se.

The uncorrected formation energy comes out at 0.160 eV/atom. The energy relative to the lowest polymorph listed for this composition comes out at 3 meV/atom. The magnetization comes out at 0.00 μB per formula unit. As for the crystal system: tetragonal.

The space group is P4/mmm (No. 123) and the conventional cell measures 3.1249, 3.1249 and 6.5208 Å, with angles of 90.00, 90.00 and 90.00 degrees. The asymmetric unit holds Mo at (0.0000, 0.0000, 0.0000), Mo at (0.5000, 0.5000, 0.2467) and Se at (0.0000, 0.0000, 0.5000).

=====

Entry 2:
The following is a DFT calculation (PBE) of an optimized crystal structure of ZnGa2Pd3.

The energy relative to the lowest polymorph listed for this composition comes out at 10 meV/atom. The calculation puts the formation energy at -0.5650 eV/atom. The magnetization comes out at 0.00 μB per formula unit. As for the crystal system: tetragonal.

The space group is P4/mmm (No. 123) and the conventional cell measures 3.1102, 3.1102 and 9.1868 Å, with angles of 90.00, 90.00 and 90.00 degrees. The asymmetric unit holds Zn at (0.0000, 0.0000, 0.0000), Ga at (0.0000, 0.0000, 0.3305), Pd at (0.5000, 0.5000, 0.1698) and Pd at (0.5000, 0.5000, 0.5000).

=====

Entry 3:
The following is a DFT calculation (PBE) of an optimized crystal structure of TmSn2Rh4.

The calculation puts the formation energy at -0.5609 eV/atom. The magnetization comes out at 0.00 μB per formula unit. As for the crystal system: trigonal.

The space group is R-3m (No. 166, hexagonal axes) and the conventional cell measures 4.4864, 4.4864 and 22.2256 Å, with angles of 90.00, 90.00 and 120.00 degrees. The asymmetric unit holds Tm at (0.0000, 0.0000, 0.0000), Sn at (0.0000, 0.0000, 0.2440), Rh at (0.0000, 0.0000, 0.1254) and Rh at (0.0000, 0.0000, 0.3781).

=====

Entry 4:
The following is a DFT calculation (PBE) of an optimized crystal structure of LiMgZn2.

The calculation puts the formation energy at -0.1322 eV/atom. The magnetization comes out at 0.00 μB per formula unit. As for the crystal system: monoclinic.

The space group is Pm (No. 6) and the conventional cell measures 2.9206, 4.3530 and 5.5518 Å, with angles of 90.00, 104.84 and 90.00 degrees. The asymmetric unit holds Li at (0.0000, 0.0000, 0.0000), Mg at (0.6719, 0.5000, 0.3241), Zn at (0.2795, 0.0000, 0.5422) and Zn at (0.4006, 0.5000, 0.8032).

=====

Entry 5:
The following is a DFT calculation (PBE) of an optimized crystal structure of Tl2SnSb.

The uncorrected formation energy comes out at 0.225 eV/atom. The energy relative to the lowest polymorph listed for this composition comes out at 181 meV/atom. The magnetization comes out at 0.00 μB per formula unit. As for the crystal system: tetragonal.

The space group is I-42d (No. 122) and the conventional cell measures 6.8612, 6.8612 and 13.2384 Å, with angles of 90.00, 90.00 and 90.00 degrees. The asymmetric unit holds Tl at (0.2490, 0.2500, 0.1250), Sn at (0.0000, 0.0000, 0.0000) and Sb at (0.0000, 0.0000, 0.5000).

=====

Entry 6:
The following is a DFT calculation (PBE) of an optimized crystal structure of LiLaY.

The energy relative to the lowest polymorph listed for this composition comes out at 96 meV/atom. The calculation puts the formation energy at 0.1525 eV/atom. The magnetization comes out at 0.01 μB per formula unit. As for the crystal system: orthorhombic.

The space group is Fmm2 (No. 42) and the conventional cell measures 3.9017, 5.7279 and 16.8972 Å, with angles of 90.00, 90.00 and 90.00 degrees. The asymmetric unit holds Li at (0.0000, 0.0000, 0.0000), La at (0.0000, 0.0000, 0.6683) and Y at (0.0000, 0.0000, 0.3429).

=====

Entry 7:
The following is a DFT calculation (PBE) of an optimized crystal structure of BiTeN3.

The uncorrected formation energy comes out at 1.295 eV/atom. The magnetization comes out at 0.00 μB per formula unit. As for the crystal system: cubic.

The space group is Pm-3m (No. 221) and the conventional cell measures 4.0292, 4.0292 and 4.0292 Å, with angles of 90.00, 90.00 and 90.00 degrees. The asymmetric unit holds Bi at (0.0000, 0.0000, 0.0000), Te at (0.5000, 0.5000, 0.5000) and N at (0.0000, 0.5000, 0.5000).

=====

Entry 8:
The following is a DFT calculation (PBE) of an optimized crystal structure of BaCuP2.

The calculation puts the formation energy at -0.5485 eV/atom. The magnetization comes out at 0.00 μB per formula unit. As for the crystal system: monoclinic.

The space group is P2/m (No. 10) and the conventional cell measures 4.9990, 4.1465 and 9.3736 Å, with angles of 90.00, 99.29 and 90.00 degrees. The asymmetric unit holds Ba at (0.0000, 0.0000, 0.0000), Ba at (0.5000, 0.5000, 0.5000), Cu at (0.1021, 0.5000, 0.7237), P at (0.0176, 0.0000, 0.6200) and P at (0.4850, 0.5000, 0.8863).

=====

Entry 9:
The following is a DFT calculation (PBE) of an optimized crystal structure of YTcHg2.

The energy relative to the lowest polymorph listed for this composition comes out at 0 meV/atom. The calculation puts the formation energy at 0.0615 eV/atom. The magnetization comes out at 0.01 μB per formula unit. As for the crystal system: orthorhombic.

The space group is Immm (No. 71) and the conventional cell measures 4.3088, 4.3194 and 8.8745 Å, with angles of 90.00, 90.00 and 90.00 degrees. The asymmetric unit holds Y at (0.0000, 0.0000, 0.0000), Tc at (0.0000, 0.0000, 0.5000) and Hg at (0.0000, 0.5000, 0.2497).

=====

Entry 10:
The following is a DFT calculation (PBE) of an optimized crystal structure of NdSm3Bi4.

The energy relative to the lowest polymorph listed for this composition comes out at 6 meV/atom. The calculation puts the formation energy at -0.9313 eV/atom. The magnetization comes out at 0.00 μB per formula unit. As for the crystal system: orthorhombic.

The space group is Cmmm (No. 65) and the conventional cell measures 9.1438, 12.9281 and 4.5726 Å, with angles of 90.00, 90.00 and 90.00 degrees. The asymmetric unit holds Nd at (0.0000, 0.0000, 0.0000), Sm at (0.0000, 0.5000, 0.0000), Sm at (0.2500, 0.2500, 0.5000), Bi at (0.0000, 0.2510, 0.0000) and Bi at (0.2478, 0.5000, 0.5000).

=====

Entry 11:
The following is a DFT calculation (PBE) of an optimized crystal structure of NiRuC3.

The energy relative to the lowest polymorph listed for this composition comes out at 0 meV/atom. The calculation puts the formation energy at 2.2341 eV/atom. The magnetization comes out at 0.00 μB per formula unit. As for the crystal system: cubic.

The space group is Pm-3m (No. 221) and the conventional cell measures 3.9299, 3.9299 and 3.9299 Å, with angles of 90.00, 90.00 and 90.00 degrees. The asymmetric unit holds Ni at (0.0000, 0.0000, 0.0000), Ru at (0.5000, 0.5000, 0.5000) and C at (0.0000, 0.5000, 0.5000).

=====

Entry 12:
The following is a DFT calculation (PBE) of an optimized crystal structure of LaAl3Ga.

The energy relative to the lowest polymorph listed for this composition comes out at 548 meV/atom. The calculation puts the formation energy at 0.1146 eV/atom. The magnetization comes out at 0.00 μB per formula unit. As for the crystal system: cubic.

The space group is Pm-3m (No. 221) and the conventional cell measures 4.9383, 4.9383 and 4.9383 Å, with angles of 90.00, 90.00 and 90.00 degrees. The asymmetric unit holds La at (0.0000, 0.0000, 0.0000), Al at (0.0000, 0.5000, 0.5000) and Ga at (0.5000, 0.5000, 0.5000).

=====

Entry 13:
The following is a DFT calculation (PBE) of an optimized crystal structure of K3Tb2InS6.

The uncorrected formation energy comes out at -1.533 eV/atom. The magnetization comes out at 0.00 μB per formula unit. As for the crystal system: monoclinic.

The space group is C2/m (No. 12) and the conventional cell measures 6.9718, 12.0771 and 7.7497 Å, with angles of 90.00, 107.46 and 90.00 degrees. The asymmetric unit holds K at (0.0000, 0.0000, 0.0000), K at (0.0000, 0.3329, 0.0000), Tb at (0.0000, 0.1666, 0.5000), In at (0.0000, 0.5000, 0.5000), S at (0.2303, 0.3368, 0.7014) and S at (0.2408, 0.0000, 0.7014).

=====

Entry 14:
The following is a DFT calculation (PBE) of an optimized crystal structure of LaNbTcGe2.

The calculation puts the formation energy at -0.5319 eV/atom. The magnetization comes out at 0.00 μB per formula unit. As for the crystal system: tetragonal.

The space group is I-4m2 (No. 119) and the conventional cell measures 4.1275, 4.1275 and 11.7981 Å, with angles of 90.00, 90.00 and 90.00 degrees. The asymmetric unit holds La at (0.0000, 0.0000, 0.0000), Nb at (0.0000, 0.5000, 0.7500), Tc at (0.0000, 0.5000, 0.2500) and Ge at (0.0000, 0.0000, 0.3872).